First-principles (PBE) data for Rb2LiHoF6 after structural relaxation, as listed in the Alexandria database.

Cell lengths 6.1260, 6.1260, 6.1260 Å; angles 60.00, 60.00, 60.00 degrees
With the nearest neighbours (Å) after each atom.
Element x y z (fractional)
Rb 0.2500 0.2500 0.2500  12 F 3.06
Rb 0.7500 0.7500 0.7500  12 F 3.06
Li 0.0000 0.0000 0.0000  6 F 2.16
Ho 0.5000 0.5000 0.5000  6 F 2.18
F 0.2488 0.2488 0.7512  1 Li 2.16, 1 Ho 2.18
F 0.2488 0.7512 0.2488  1 Li 2.16, 1 Ho 2.18
F 0.2488 0.7512 0.7512  1 Li 2.16, 1 Ho 2.18
F 0.7512 0.2488 0.2488  1 Li 2.16, 1 Ho 2.18
F 0.7512 0.2488 0.7512  1 Li 2.16, 1 Ho 2.18
F 0.7512 0.7512 0.2488  1 Li 2.16, 1 Ho 2.18

Values from the calculation:
The calculation puts the density at 4666 kg/m³. As for the magnetic moment: 0.00 μB per cell. The symmetry is No. 225. Its energy relative to the elements, uncorrected is -3.3595 eV/atom.